CaSmDy4Se8 | PBE | relaxed

Summary:
Total magnetic moment in μB per atom: 0.000
V in Å³ per cell: 1296.3
Formation energy (no corrections) in eV per atom: -1.80

abc: 8.4676 8.4676 20.8768
angles: 90.00 90.00 120.00
Space group R3m (No. 160, hexagonal axes)
Symmetry-distinct sites (fractional):
Ca1 0.0000 0.0000 0.0000
Sm1 0.0000 0.0000 0.6279
Dy1 0.0000 0.0000 0.2512
Dy2 0.1694 0.3388 0.4584
Se1 0.0000 0.0000 0.3839
Se2 0.0000 0.0000 0.8656
Se3 0.0228 0.5114 0.3810
Se4 0.1753 0.3505 0.2049

***

ErVMo | PBE | relaxed

Summary:
Energy of formation from the pure elements in meV per atom: 625
Total magnetic moment in μB per atom: 0.000
V in Å³ per cell: 407.2

abc: 4.0586 4.0586 28.5474
angles: 90.00 90.00 120.00
Space group R-3m (No. 166, hexagonal axes)
Symmetry-distinct sites (fractional):
Er1 0.0000 0.0000 0.1163
V1 0.0000 0.0000 0.3058
Mo1 0.0000 0.0000 0.3919